DFT (PBE-GGA) results for a relaxed structure of BeAlC3.

Calculated values
The calculation puts the raw total energy at -4.91 eV per atom. As for the magnetic moment: 0.0 Bohr magnetons per cell. The energy of formation from the pure elements is 2.12 eV/atom. The calculation puts the mass density at 2.62 Mg/m³.

Unit cell a=3.5759 b=3.5759 c=3.5759 alpha=90.00 beta=90.00 gamma=90.00
Sites, in units of the cell vectors:
C1 0.0000 0.0000 0.5000
C2 0.5000 0.0000 0.0000
C3 0.0000 0.5000 0.0000
Al1 0.5000 0.5000 0.5000
Be1 0.0000 0.0000 0.0000